The following is a DFT calculation (PBE with a Hubbard U) of a relaxed structure of InSb2WF.

Results
Crystal system: tetragonal
Final energy: -3.74 eV/atom

Cell: 5.687 5.687 4.132 Å, 90.00 90.00 90.00°
Atoms (fractional coordinates):
In (0.000, 0.000, 0.000)
Sb (0.000, 0.500, 0.000)
Sb (0.500, 0.000, 0.000)
W (0.500, 0.500, 0.500)
F (0.000, 0.000, 0.500)